# Ho2TmN3, optimized geometry, DFT PBE
# DOS(E_F) in states/eV/cell: 0.33
# E_form (uncorrected) in meV per atom: -1772
# Raw total energy in eV per atom: -8.206
data_Ho2TmN3
_chemical_formula_sum 'Ho4 Tm2 N6'
_cell_length_a 3.4350
_cell_length_b 4.8562
_cell_length_c 10.3033
_cell_angle_alpha 90.00
_cell_angle_beta 90.00
_cell_angle_gamma 90.00
_symmetry_space_group_name_H-M 'I m m m'
_symmetry_Int_Tables_number 71
_symmetry_space_group_name_Hall '-I 2 2'
loop_
_atom_site_label
_atom_site_fract_x
_atom_site_fract_y
_atom_site_fract_z
_atom_site_occupancy
Ho1 0.0000 0.0000 0.1665 1
Tm1 0.0000 0.0000 0.5000 1
N1 0.0000 0.5000 0.1649 1
N2 0.0000 0.5000 0.5000 1

---

# HoTm4N5, optimized geometry, DFT PBE
# DOS(E_F) in states/eV/cell: 0.55
# E_form (uncorrected) in meV per atom: -1810
# Raw total energy in eV per atom: -8.219
data_HoTm4N5
_chemical_formula_sum 'Ho2 Tm8 N10'
_cell_length_a 3.4132
_cell_length_b 3.4132
_cell_length_c 24.1251
_cell_angle_alpha 90.00
_cell_angle_beta 90.00
_cell_angle_gamma 90.00
_symmetry_space_group_name_H-M 'I 4/m m m'
_symmetry_Int_Tables_number 139
_symmetry_space_group_name_Hall '-I 4 2'
loop_
_atom_site_label
_atom_site_fract_x
_atom_site_fract_y
_atom_site_fract_z
_atom_site_occupancy
Ho1 0.0000 0.0000 0.0000 1
Tm1 0.0000 0.0000 0.2002 1
Tm2 0.0000 0.0000 0.3993 1
N1 0.0000 0.0000 0.1009 1
N2 0.0000 0.0000 0.2999 1
N3 0.0000 0.0000 0.5000 1

---

# Ho5Tm3N8, optimized geometry, DFT PBE
# DOS(E_F) in states/eV/cell: 1.48
# E_form (uncorrected) in meV per atom: -1775
# Raw total energy in eV per atom: -8.206
data_Ho5Tm3N8
_chemical_formula_sum 'Ho15 Tm9 N24'
_cell_length_a 6.8652
_cell_length_b 6.8652
_cell_length_c 16.8181
_cell_angle_alpha 90.00
_cell_angle_beta 90.00
_cell_angle_gamma 120.00
_symmetry_space_group_name_H-M 'R -3 m'
_symmetry_Int_Tables_number 166
_symmetry_space_group_name_Hall '-R 3 2"'
loop_
_atom_site_label
_atom_site_fract_x
_atom_site_fract_y
_atom_site_fract_z
_atom_site_occupancy
Ho1 0.0000 0.0000 0.0000 1
Ho2 0.0000 0.0000 0.5000 1
Ho3 0.0000 0.5000 0.0000 1
Tm1 0.0000 0.5000 0.5000 1
N1 0.0000 0.0000 0.2491 1
N2 0.0013 0.5006 0.7506 1

---

# HoTm3N4, optimized geometry, DFT PBE
# DOS(E_F) in states/eV/cell: 0.67
# E_form (uncorrected) in meV per atom: -1806
# Raw total energy in eV per atom: -8.218
data_HoTm3N4
_chemical_formula_sum 'Ho2 Tm6 N8'
_cell_length_a 5.9134
_cell_length_b 6.8312
_cell_length_c 5.9138
_cell_angle_alpha 90.00
_cell_angle_beta 109.47
_cell_angle_gamma 90.00
_symmetry_space_group_name_H-M 'P 1 2/c 1'
_symmetry_Int_Tables_number 13
_symmetry_space_group_name_Hall '-P 2yc'
loop_
_atom_site_label
_atom_site_fract_x
_atom_site_fract_y
_atom_site_fract_z
_atom_site_occupancy
Ho1 0.0000 0.1255 0.2500 1
Tm1 0.0000 0.3755 0.7500 1
Tm2 0.5000 0.1255 0.7500 1
Tm3 0.5000 0.3754 0.2500 1
N1 0.2507 0.3762 0.5013 1
N2 0.2522 0.1263 0.9997 1

---

# HoTmN, optimized geometry, DFT PBE
# DOS(E_F) in states/eV/cell: 2.60
# E_form (uncorrected) in meV per atom: -1080
# Raw total energy in eV per atom: -6.871
data_HoTmN
_chemical_formula_sum 'Ho1 Tm1 N1'
_cell_length_a 3.4540
_cell_length_b 3.4540
_cell_length_c 5.8801
_cell_angle_alpha 90.00
_cell_angle_beta 90.00
_cell_angle_gamma 120.00
_symmetry_space_group_name_H-M 'P 3 m 1'
_symmetry_Int_Tables_number 156
_symmetry_space_group_name_Hall 'P 3 -2"'
loop_
_atom_site_label
_atom_site_fract_x
_atom_site_fract_y
_atom_site_fract_z
_atom_site_occupancy
Ho1 0.0000 0.0000 0.0000 1
Tm1 0.3333 0.6667 0.4514 1
N1 0.6667 0.3333 0.2319 1

---

# HoTmN, optimized geometry, DFT PBE
# DOS(E_F) in states/eV/cell: 4.86
# E_form (uncorrected) in meV per atom: -1036
# Raw total energy in eV per atom: -6.828
data_HoTmN
_chemical_formula_sum 'Ho2 Tm2 N2'
_cell_length_a 4.9595
_cell_length_b 4.9657
_cell_length_c 4.7090
_cell_angle_alpha 90.00
_cell_angle_beta 90.13
_cell_angle_gamma 90.00
_symmetry_space_group_name_H-M 'C 1 2/m 1'
_symmetry_Int_Tables_number 12
_symmetry_space_group_name_Hall '-C 2y'
loop_
_atom_site_label
_atom_site_fract_x
_atom_site_fract_y
_atom_site_fract_z
_atom_site_occupancy
Ho1 0.0000 0.0000 0.0000 1
Tm1 0.0000 0.5000 0.5000 1
N1 0.0000 0.5000 0.0000 1

---

# Ho3TmN, optimized geometry, DFT PBE
# DOS(E_F) in states/eV/cell: 5.90
# E_form (uncorrected) in meV per atom: -537
# Raw total energy in eV per atom: -5.843
data_Ho3TmN
_chemical_formula_sum 'Ho3 Tm1 N1'
_cell_length_a 4.9205
_cell_length_b 4.9205
_cell_length_c 4.9205
_cell_angle_alpha 90.00
_cell_angle_beta 90.00
_cell_angle_gamma 90.00
_symmetry_space_group_name_H-M 'P m -3 m'
_symmetry_Int_Tables_number 221
_symmetry_space_group_name_Hall '-P 4 2 3'
loop_
_atom_site_label
_atom_site_fract_x
_atom_site_fract_y
_atom_site_fract_z
_atom_site_occupancy
Ho1 0.0000 0.0000 0.5000 1
Tm1 0.5000 0.5000 0.5000 1
N1 0.0000 0.0000 0.0000 1

---

# HoTm4N4, optimized geometry, DFT PBE
# DOS(E_F) in states/eV/cell: 4.61
# E_form (uncorrected) in meV per atom: -1594
# Raw total energy in eV per atom: -7.790
data_HoTm4N4
_chemical_formula_sum 'Ho2 Tm8 N8'
_cell_length_a 7.6820
_cell_length_b 7.6820
_cell_length_c 4.8205
_cell_angle_alpha 90.00
_cell_angle_beta 90.00
_cell_angle_gamma 90.00
_symmetry_space_group_name_H-M 'I 4/m'
_symmetry_Int_Tables_number 87
_symmetry_space_group_name_Hall '-I 4'
loop_
_atom_site_label
_atom_site_fract_x
_atom_site_fract_y
_atom_site_fract_z
_atom_site_occupancy
Ho1 0.0000 0.0000 0.0000 1
Tm1 0.1088 0.3119 0.5000 1
N1 0.0996 0.3000 0.0000 1

---

# HoTmN, optimized geometry, DFT PBE
# DOS(E_F) in states/eV/cell: 8.40
# E_form (uncorrected) in meV per atom: -299
# Raw total energy in eV per atom: -6.091
data_HoTmN
_chemical_formula_sum 'Ho4 Tm4 N4'
_cell_length_a 5.9390
_cell_length_b 5.9390
_cell_length_c 5.9390
_cell_angle_alpha 90.00
_cell_angle_beta 90.00
_cell_angle_gamma 90.00
_symmetry_space_group_name_H-M 'F -4 3 m'
_symmetry_Int_Tables_number 216
_symmetry_space_group_name_Hall 'F -4 2 3'
loop_
_atom_site_label
_atom_site_fract_x
_atom_site_fract_y
_atom_site_fract_z
_atom_site_occupancy
Ho1 0.0000 0.0000 0.0000 1
Tm1 0.0000 0.0000 0.5000 1
N1 0.2500 0.2500 0.2500 1

---

# HoTmN, optimized geometry, DFT PBE
# DOS(E_F) in states/eV/cell: 4.63
# E_form (uncorrected) in meV per atom: 191
# Raw total energy in eV per atom: -5.600
data_HoTmN
_chemical_formula_sum 'Ho2 Tm2 N2'
_cell_length_a 4.6138
_cell_length_b 4.6138
_cell_length_c 7.6183
_cell_angle_alpha 90.00
_cell_angle_beta 90.00
_cell_angle_gamma 90.00
_symmetry_space_group_name_H-M 'I 4 m m'
_symmetry_Int_Tables_number 107
_symmetry_space_group_name_Hall 'I 4 -2'
loop_
_atom_site_label
_atom_site_fract_x
_atom_site_fract_y
_atom_site_fract_z
_atom_site_occupancy
Ho1 0.0000 0.0000 0.0000 1
Tm1 0.0000 0.0000 0.4658 1
N1 0.0000 0.0000 0.7317 1

---

# Ho2Tm2N3, optimized geometry, DFT PBE
# DOS(E_F) in states/eV/cell: 3.74
# E_form (uncorrected) in meV per atom: -1510
# Raw total energy in eV per atom: -7.663
data_Ho2Tm2N3
_chemical_formula_sum 'Ho4 Tm4 N6'
_cell_length_a 11.4357
_cell_length_b 3.4407
_cell_length_c 5.9838
_cell_angle_alpha 90.00
_cell_angle_beta 100.04
_cell_angle_gamma 90.00
_symmetry_space_group_name_H-M 'C 1 2/m 1'
_symmetry_Int_Tables_number 12
_symmetry_space_group_name_Hall '-C 2y'
loop_
_atom_site_label
_atom_site_fract_x
_atom_site_fract_y
_atom_site_fract_z
_atom_site_occupancy
Ho1 0.1327 0.0000 0.3658 1
Tm1 0.1258 0.5000 0.8870 1
N1 0.0000 0.0000 0.0000 1
N2 0.2480 0.5000 0.2471 1

---

# HoTm2N, optimized geometry, DFT PBE
# DOS(E_F) in states/eV/cell: 10.34
# E_form (uncorrected) in meV per atom: -824
# Raw total energy in eV per atom: -6.286
data_HoTm2N
_chemical_formula_sum 'Ho3 Tm6 N3'
_cell_length_a 3.4220
_cell_length_b 3.4220
_cell_length_c 26.4789
_cell_angle_alpha 90.00
_cell_angle_beta 90.00
_cell_angle_gamma 120.00
_symmetry_space_group_name_H-M 'R -3 m'
_symmetry_Int_Tables_number 166
_symmetry_space_group_name_Hall '-R 3 2"'
loop_
_atom_site_label
_atom_site_fract_x
_atom_site_fract_y
_atom_site_fract_z
_atom_site_occupancy
Ho1 0.0000 0.0000 0.0000 1
Tm1 0.0000 0.0000 0.2173 1
N1 0.0000 0.0000 0.5000 1